Ba2In2Pb | the Alexandria database | PBE | optimized geometry; crystal system = monoclinic; energy above the lowest structure with this stoichiometry = 0 meV/atom; energy relative to the elements = -0.432 eV per atom
1.0
6.707 -2.487 0.000
6.707 2.487 0.000
-5.628 0.000 11.786
Ba In Pb
4 4 2
direct
0.101 0.101 0.396
0.286 0.286 0.842
0.714 0.714 0.158
0.899 0.899 0.604
0.073 0.073 0.945
0.381 0.381 0.393
0.619 0.619 0.607
0.927 0.927 0.055
0.445 0.445 0.192
0.555 0.555 0.808



BaInPb3 | the Alexandria database | PBE | optimized geometry; crystal system = cubic; energy above the lowest structure with this stoichiometry = 278 meV/atom; energy relative to the elements = 0.022 eV per atom
1.0
5.842 0.000 0.000
0.000 5.842 0.000
0.000 0.000 5.842
Ba In Pb
1 1 3
direct
0.000 0.000 0.000
0.500 0.500 0.500
0.000 0.500 0.500
0.500 0.000 0.500
0.500 0.500 0.000



BaIn2Pb | the Alexandria database | PBE | optimized geometry; crystal system = monoclinic; energy relative to the elements = -0.288 eV per atom
1.0
4.882 -2.426 0.000
4.882 2.426 0.000
-2.327 0.000 5.852
Ba In Pb
1 2 1
direct
0.000 0.000 0.000
0.234 0.234 0.681
0.766 0.766 0.319
0.500 0.500 0.500